1.
First-principles (GGA-PBE) data for an optimized crystal structure of LaIn2Rh2, as listed in Alexandria via LeMat-Bulk.

```
LaIn2Rh2
1.0
-3.9610 -0.0410 -3.5406
-5.2012 -0.0334 1.0833
-3.7990 4.6527 -1.0267
In La Rh
2 1 2
direct
0.8023 0.3023 0.6978
0.1977 0.6977 0.3022
0.0000 0.5000 0.0000
0.5002 0.0002 0.2851
0.4998 0.9998 0.7149
```

Summary:
Theoretical density: 8.97 g cm⁻³
Total moment: 0.000 μB/f.u.
SG: C2/m
E_form: -0.5090 eV per atom

=====

2.
First-principles (GGA-PBE) data for an optimized crystal structure of LaIn3Rh, as listed in Alexandria via LeMat-Bulk.

```
LaIn3Rh
1.0
-2.2313 -0.4637 5.4732
-5.3563 -1.1251 -2.2790
1.2169 -5.8025 0.0045
Rh La In
1 1 3
direct
0.5000 0.5000 0.5000
0.0000 0.0000 0.0000
0.5000 0.0000 0.0000
0.0000 0.0000 0.5000
0.0000 0.5000 0.0000
```

Summary:
Theoretical density: 4.67 g cm⁻³
Total moment: 0.858 μB/f.u.
E above lowest polymorph: 9.57 eV per formula unit
SG: Pm-3m
E_form: 1.3823 eV per atom